(1)
## ZnAs2P (GGA-PBE)

Data for a geometry-optimized ZnAs2P structure.

## Properties
Size of the total moment ... 0.00 μB per cell
Total energy ... -0.1286 hartree per atom
Fermi-level density of states ... 0.361 states/eV per atom
ΔE to the lowest computed polymorph ... 0.431 eV/atom

a b c (Å): 9.6322 9.6322 9.6322
angles (deg): 17.38 17.38 17.38
With the nearest neighbours (Å) after each atom.
Positions (direct):
Zn1 0.0000 0.0000 0.0000  6 As 2.89, 6 Zn 2.91
As1 0.2505 0.2505 0.2505  3 Zn 2.89, 6 As 2.91, 3 P 2.92
As2 0.7495 0.7495 0.7495  3 Zn 2.89, 6 As 2.91, 3 P 2.92
P1 0.5000 0.5000 0.5000  6 P 2.91, 6 As 2.92

(2)
## ZnAsP3 (GGA-PBE)

Data for a geometry-optimized ZnAsP3 structure.

## Properties
Size of the total moment ... 0.00 μB per cell
Total energy ... -0.1240 hartree per atom
Fermi-level density of states ... 0.774 states/eV per atom
ΔE to the lowest computed polymorph ... 0.000 eV/atom

a b c (Å): 4.5982 4.5982 4.5982
angles (deg): 90.00 90.00 90.00
With the nearest neighbours (Å) after each atom.
Positions (direct):
Zn1 0.0000 0.0000 0.0000  6 P 2.30
As1 0.5000 0.5000 0.5000  12 P 3.25
P1 0.0000 0.0000 0.5000  2 Zn 2.30
P2 0.0000 0.5000 0.0000  2 Zn 2.30
P3 0.5000 0.0000 0.0000  2 Zn 2.30

(3)
## ZnAs2P (GGA-PBE)

Data for a geometry-optimized ZnAs2P structure.

## Properties
Size of the total moment ... 0.00 μB per cell
Total energy ... -0.1298 hartree per atom
Fermi-level density of states ... 0.548 states/eV per atom
ΔE to the lowest computed polymorph ... 0.401 eV/atom

a b c (Å): 4.6205 4.6205 4.6205
angles (deg): 60.00 60.00 60.00
With the nearest neighbours (Å) after each atom.
Positions (direct):
Zn1 0.0000 0.0000 0.0000  8 As 2.83
As1 0.2500 0.2500 0.2500  4 Zn 2.83, 4 P 2.83
As2 0.7500 0.7500 0.7500  4 P 2.83, 4 Zn 2.83
P1 0.5000 0.5000 0.5000  8 As 2.83